The following is a PBE calculation of a geometry-optimized Rb2Te structure, from the Alexandria database.

symmetry = No. 225
uncorrected formation energy = -1.0033 eV/atom

a = 6.070 Å, b = 6.070 Å, c = 6.070 Å
α = 60.00°, β = 60.00°, γ = 60.00°
Sites, in units of the cell vectors:
Rb (0.250, 0.250, 0.250)
Rb (0.750, 0.750, 0.750)
Te (0.000, 0.000, 0.000)